## SrCaPCl (GGA-PBE)

Data for a relaxed SrCaPCl crystal.

a = 7.6364 Å, b = 4.4114 Å, c = 7.4909 Å
α = 90.00°, β = 90.31°, γ = 90.00°
Space group Cm (No. 8)
Symmetry-distinct sites (fractional):
Sr1 0.0000 0.0000 0.0000 x2
Ca1 0.3355 0.0000 0.3917 x2
P1 0.1680 0.5000 0.2269 x2
Cl1 0.3323 0.0000 0.7637 x2

Computed properties:
As for the uncorrected formation energy: -1.6632 eV/atom.

---

## VNiGe (GGA-PBE)

Data for a relaxed VNiGe crystal.

a = 6.1441 Å, b = 3.6647 Å, c = 10.5481 Å
α = 90.00°, β = 90.63°, γ = 90.00°
Space group P2_1/m (No. 11)
Symmetry-distinct sites (fractional):
V1 0.0260 0.2500 0.2096 x2
V2 0.3396 0.7500 0.5822 x2
V3 0.4708 0.7500 0.8838 x2
Ni1 0.0027 0.2500 0.5882 x2
Ni2 0.1451 0.2500 0.9594 x2
Ni3 0.3658 0.7500 0.2976 x2
Ge1 0.2406 0.7500 0.0863 x2
Ge2 0.2483 0.2500 0.4165 x2
Ge3 0.2670 0.2500 0.7504 x2

Computed properties:
The electronic total energy is -6.83 eV/atom.

---

## ScBeSn (GGA-PBE)

Data for a relaxed ScBeSn crystal.

a = 3.8790 Å, b = 3.8790 Å, c = 8.0719 Å
α = 90.00°, β = 90.00°, γ = 90.00°
Space group I4mm (No. 107)
Symmetry-distinct sites (fractional):
Sc1 0.0000 0.0000 0.0000 x2
Be1 0.0000 0.0000 0.6550 x2
Sn1 0.0000 0.0000 0.3480 x2

Computed properties:
The electronic total energy is -4.51 eV/atom.

---

## RbTc3Se (GGA-PBE)

Data for a relaxed RbTc3Se crystal.

a = 4.7652 Å, b = 4.7652 Å, c = 4.7652 Å
α = 90.00°, β = 90.00°, γ = 90.00°
Space group Pm-3m (No. 221)
Symmetry-distinct sites (fractional):
Rb1 0.0000 0.0000 0.0000 x1
Tc1 0.0000 0.5000 0.5000 x3
Se1 0.5000 0.5000 0.5000 x1

Computed properties:
As for the uncorrected formation energy: 1.3955 eV/atom.

---

## Ho5Cd2Pd12 (GGA-PBE)

Data for a relaxed Ho5Cd2Pd12 crystal.

a = 16.8183 Å, b = 5.5783 Å, c = 9.5449 Å
α = 90.00°, β = 116.69°, γ = 90.00°
Space group C2/m (No. 12)
Symmetry-distinct sites (fractional):
Ho1 0.0000 0.0000 0.0000 x2
Ho2 0.1591 0.5000 0.3715 x4
Ho3 0.1834 0.5000 0.8753 x4
Cd1 0.0000 0.2499 0.5000 x4
Pd1 0.0102 0.5000 0.8645 x4
Pd2 0.1063 0.0000 0.8096 x4
Pd3 0.1579 0.2490 0.1068 x8
Pd4 0.1843 0.2383 0.6281 x8

Computed properties:
The electronic total energy is -5.12 eV/atom.

---

## CaDyAgCl6 (GGA-PBE)

Data for a relaxed CaDyAgCl6 crystal.

a = 6.9214 Å, b = 6.9214 Å, c = 12.1021 Å
α = 90.00°, β = 90.00°, γ = 120.00°
Space group P-31c (No. 163)
Symmetry-distinct sites (fractional):
Ca1 0.3333 0.6667 0.2500 x2
Dy1 0.3333 0.6667 0.7500 x2
Ag1 0.0000 0.0000 0.0000 x2
Cl1 0.0109 0.3512 0.6281 x12

Computed properties:
As for the uncorrected formation energy: -1.8952 eV/atom.

---

## Zr3CdH (GGA-PBE)

Data for a relaxed Zr3CdH crystal.

a = 5.6890 Å, b = 5.6890 Å, c = 21.9072 Å
α = 90.00°, β = 90.00°, γ = 120.00°
Space group R-3 (No. 148, hexagonal axes)
Symmetry-distinct sites (fractional):
Zr1 0.0038 0.6571 0.2770 x18
Cd1 0.0000 0.0000 0.1680 x6
H1 0.0000 0.0000 0.3341 x6

Computed properties:
The electronic total energy is -5.95 eV/atom.

---

## BaSiRh2 (GGA-PBE)

Data for a relaxed BaSiRh2 crystal.

a = 7.1522 Å, b = 4.1184 Å, c = 6.4829 Å
α = 90.00°, β = 109.23°, γ = 90.00°
Space group Cm (No. 8)
Symmetry-distinct sites (fractional):
Ba1 0.0000 0.0000 0.0000 x2
Si1 0.3014 0.5000 0.4487 x2
Rh1 0.1728 0.0000 0.5719 x2
Rh2 0.4436 0.0000 0.3650 x2

Computed properties:
As for the uncorrected formation energy: -0.5068 eV/atom.

---

## Si2AgW (GGA-PBE)

Data for a relaxed Si2AgW crystal.

a = 2.7411 Å, b = 2.7411 Å, c = 8.2857 Å
α = 90.00°, β = 90.00°, γ = 90.00°
Space group P4mm (No. 99)
Symmetry-distinct sites (fractional):
Si1 0.0000 0.0000 0.0000 x1
Si2 0.5000 0.5000 0.2426 x1
Ag1 0.5000 0.5000 0.7429 x1
W1 0.0000 0.0000 0.4700 x1

Computed properties:
As for the uncorrected formation energy: 0.4570 eV/atom.

---

## NiAuSe2Br (GGA-PBE)

Data for a relaxed NiAuSe2Br crystal.

a = 5.1271 Å, b = 5.1271 Å, c = 5.1821 Å
α = 90.00°, β = 90.00°, γ = 90.00°
Space group P4/mmm (No. 123)
Symmetry-distinct sites (fractional):
Ni1 0.0000 0.0000 0.0000 x1
Au1 0.5000 0.5000 0.5000 x1
Se1 0.0000 0.5000 0.5000 x2
Br1 0.5000 0.5000 0.0000 x1

Computed properties:
As for the uncorrected formation energy: 0.9328 eV/atom.

---

## LaPmNd2Er (GGA-PBE)

Data for a relaxed LaPmNd2Er crystal.

a = 8.5728 Å, b = 6.5737 Å, c = 6.3427 Å
α = 90.00°, β = 95.57°, γ = 90.00°
Space group P2/c (No. 13)
Symmetry-distinct sites (fractional):
La1 0.0000 0.0000 0.0000 x2
Pm1 0.0000 0.4381 0.2500 x2
Nd1 0.3132 0.3110 0.7184 x4
Er1 0.5000 0.1656 0.2500 x2

Computed properties:
The electronic total energy is -4.49 eV/atom.

---

## Rh2WAu (GGA-PBE)

Data for a relaxed Rh2WAu crystal.

a = 2.8025 Å, b = 2.8025 Å, c = 27.6473 Å
α = 90.00°, β = 90.00°, γ = 120.00°
Space group R3m (No. 160, hexagonal axes)
Symmetry-distinct sites (fractional):
Rh1 0.0000 0.0000 0.0000 x3
Rh2 0.0000 0.0000 0.2512 x3
W1 0.0000 0.0000 0.7436 x3
Au1 0.0000 0.0000 0.4986 x3

Computed properties:
The electronic total energy is -7.59 eV/atom.

---

## Er4Ga3Sn (GGA-PBE)

Data for a relaxed Er4Ga3Sn crystal.

a = 4.0790 Å, b = 4.3737 Å, c = 10.8882 Å
α = 90.00°, β = 90.00°, γ = 90.00°
Space group Pmm2 (No. 25)
Symmetry-distinct sites (fractional):
Er1 0.0000 0.0000 0.0000 x1
Er2 0.0000 0.5000 0.4862 x1
Er3 0.5000 0.0000 0.7099 x1
Er4 0.5000 0.5000 0.2189 x1
Ga1 0.0000 0.0000 0.2775 x1
Ga2 0.5000 0.0000 0.4322 x1
Ga3 0.5000 0.5000 0.9460 x1
Sn1 0.0000 0.5000 0.7753 x1

Computed properties:
The electronic total energy is -4.56 eV/atom.

---

## Ca3Ni2As3 (GGA-PBE)

Data for a relaxed Ca3Ni2As3 crystal.

a = 4.0986 Å, b = 10.7740 Å, c = 15.0813 Å
α = 90.00°, β = 90.00°, γ = 90.00°
Space group Cmcm (No. 63)
Symmetry-distinct sites (fractional):
Ca1 0.0000 0.0653 0.2500 x4
Ca2 0.0000 0.3602 0.0943 x8
Ni1 0.0000 0.3563 0.6215 x8
As1 0.0000 0.0879 0.0575 x8
As2 0.0000 0.2251 0.7500 x4

Computed properties:
The electronic total energy is -4.79 eV/atom.

---

## PmAlCu2Ir (GGA-PBE)

Data for a relaxed PmAlCu2Ir crystal.

a = 3.8977 Å, b = 3.9975 Å, c = 11.4149 Å
α = 90.00°, β = 90.00°, γ = 90.00°
Space group Imm2 (No. 44)
Symmetry-distinct sites (fractional):
Pm1 0.0000 0.0000 0.0000 x2
Al1 0.0000 0.5000 0.7565 x2
Cu1 0.0000 0.0000 0.6173 x2
Cu2 0.0000 0.5000 0.2518 x2
Ir1 0.0000 0.0000 0.3945 x2

Computed properties:
The electronic total energy is -5.52 eV/atom.

---

## SrCo4As12 (GGA-PBE)

Data for a relaxed SrCo4As12 crystal.

a = 8.3954 Å, b = 8.3954 Å, c = 8.3954 Å
α = 90.00°, β = 90.00°, γ = 90.00°
Space group Im-3 (No. 204)
Symmetry-distinct sites (fractional):
Sr1 0.0000 0.0000 0.0000 x2
Co1 0.2500 0.2500 0.2500 x8
As1 0.0000 0.3461 0.1556 x24

Computed properties:
The electronic total energy is -5.42 eV/atom.

---

## TbY2Er7 (GGA-PBE)

Data for a relaxed TbY2Er7 crystal.

a = 6.0891 Å, b = 29.5087 Å, c = 3.4806 Å
α = 90.00°, β = 90.56°, γ = 90.00°
Space group C2/m (No. 12)
Symmetry-distinct sites (fractional):
Tb1 0.0000 0.0000 0.0000 x2
Y1 0.0000 0.2077 0.5000 x4
Er1 0.0000 0.3094 0.0000 x4
Er2 0.0000 0.5000 0.5000 x2
Er3 0.2458 0.0997 0.2679 x8

Computed properties:
The electronic total energy is -4.83 eV/atom.

---

## TlHg3Pb6 (GGA-PBE)

Data for a relaxed TlHg3Pb6 crystal.

a = 9.0433 Å, b = 9.0433 Å, c = 13.7545 Å
α = 90.00°, β = 90.00°, γ = 120.00°
Space group R3m (No. 160, hexagonal axes)
Symmetry-distinct sites (fractional):
Tl1 0.0000 0.0000 0.0000 x3
Hg1 0.0979 0.5489 0.3586 x9
Pb1 0.2056 0.4112 0.9099 x9
Pb2 0.2126 0.4251 0.1452 x9

Computed properties:
The electronic total energy is -2.46 eV/atom.

---

## Al2BiSBr (GGA-PBE)

Data for a relaxed Al2BiSBr crystal.

a = 5.8491 Å, b = 5.8491 Å, c = 5.1445 Å
α = 90.00°, β = 90.00°, γ = 90.00°
Space group P4/mmm (No. 123)
Symmetry-distinct sites (fractional):
Al1 0.0000 0.5000 0.0000 x2
Bi1 0.0000 0.0000 0.0000 x1
S1 0.0000 0.0000 0.5000 x1
Br1 0.5000 0.5000 0.5000 x1

Computed properties:
As for the uncorrected formation energy: 0.4587 eV/atom.

---

## CaPrLu2 (GGA-PBE)

Data for a relaxed CaPrLu2 crystal.

a = 3.6395 Å, b = 3.6395 Å, c = 10.2740 Å
α = 90.00°, β = 90.00°, γ = 90.00°
Space group P4/mmm (No. 123)
Symmetry-distinct sites (fractional):
Ca1 0.0000 0.0000 0.0000 x1
Pr1 0.0000 0.0000 0.5000 x1
Lu1 0.5000 0.5000 0.2664 x2

Computed properties:
The electronic total energy is -3.86 eV/atom.

---

## LiIn2Hg (GGA-PBE)

Data for a relaxed LiIn2Hg crystal.

a = 9.7333 Å, b = 3.2157 Å, c = 6.1291 Å
α = 90.00°, β = 102.49°, γ = 90.00°
Space group Cm (No. 8)
Symmetry-distinct sites (fractional):
Li1 0.0000 0.0000 0.0000 x2
In1 0.0000 0.5000 0.4733 x2
In2 0.2611 0.0000 0.7438 x2
Hg1 0.2321 0.5000 0.1940 x2

Computed properties:
The electronic total energy is -2.06 eV/atom.